Record 1
VASP calculation (GGA-PBE) on an optimized crystal structure of Rb2NpAg2Se4.

As for the calculated total energy: -42.6 eV for the cell shown. For the total magnetization, the calculation gives 3.0 μB per formula unit.

Lattice parameters (Å, degrees): 8.083 8.083 8.224 108.56 108.56 30.84
Atoms (fractional coordinates):
Rb  0.135  0.135  0.073
Rb  0.865  0.865  0.927
Np  0.000  0.000  0.500
Ag  0.320  0.320  0.517
Ag  0.680  0.680  0.483
Se  0.191  0.191  0.689
Se  0.490  0.490  0.729
Se  0.510  0.510  0.271
Se  0.809  0.809  0.311

Record 2
VASP calculation (GGA-PBE) on an optimized crystal structure of Rb2Np2AgSe6.

As for the calculated total energy: -62.4 eV for the cell shown. For the total magnetization, the calculation gives 5.0 μB per formula unit.

Lattice parameters (Å, degrees): 7.161 7.161 8.480 97.35 97.35 120.78
Atoms (fractional coordinates):
Rb  0.159  0.841  0.000
Rb  0.841  0.159  0.000
Np  0.334  0.666  0.500
Np  0.666  0.334  0.500
Ag  0.000  0.000  0.500
Se  0.058  0.411  0.691
Se  0.290  0.290  0.309
Se  0.411  0.058  0.691
Se  0.589  0.942  0.309
Se  0.710  0.710  0.691
Se  0.942  0.589  0.309

Record 3
VASP calculation (GGA-PBE) on an optimized crystal structure of RbNpAgSe2.

As for the calculated total energy: -54.6 eV for the cell shown. For the total magnetization, the calculation gives 5.0 μB per formula unit.

Lattice parameters (Å, degrees): 8.433 8.433 6.435 90.00 90.00 138.60
Atoms (fractional coordinates):
Rb  0.250  0.750  0.770
Rb  0.750  0.250  0.230
Np  0.250  0.250  0.500
Np  0.750  0.750  0.500
Ag  0.000  0.000  0.000
Ag  0.500  0.500  0.000
Se  0.123  0.877  0.261
Se  0.377  0.623  0.261
Se  0.623  0.377  0.739
Se  0.877  0.123  0.739

Record 4
VASP calculation (GGA-PBE) on an optimized crystal structure of RbNp2AgSe5.

As for the calculated total energy: -111.3 eV for the cell shown. For the total magnetization, the calculation gives 6.0 μB per formula unit.

Lattice parameters (Å, degrees): 9.573 9.573 9.573 131.22 131.22 71.46
Atoms (fractional coordinates):
Rb  0.250  0.250  0.000
Rb  0.750  0.750  0.000
Np  0.159  0.659  0.819
Np  0.341  0.159  0.500
Np  0.659  0.841  0.500
Np  0.841  0.341  0.181
Ag  0.250  0.750  0.500
Ag  0.750  0.250  0.500
Se  0.000  0.000  0.000
Se  0.031  0.237  0.500
Se  0.237  0.737  0.205
Se  0.263  0.469  0.500
Se  0.469  0.969  0.205
Se  0.500  0.500  0.000
Se  0.531  0.031  0.795
Se  0.737  0.531  0.500
Se  0.763  0.263  0.795
Se  0.969  0.763  0.500

Let's list formation energy without anion corrections in order: -0.894, -0.982, -0.712, -0.949 eV/atom.